[1]
# Pr8NdSc2 PBE-GGA optimized geometry
# energy above the most stable polymorph in this dataset = 0 meV per atom
# magnetic moment = 0.00 μB/cell
# DFT formation energy = 0.119 eV/atom
# raw total energy = -4.94 eV per atom
data_Pr8NdSc2
_chemical_formula_sum 'Pr16 Nd2 Sc4'
_symmetry_space_group_name_H-M 'I m m m'
_symmetry_Int_Tables_number 71
_symmetry_space_group_name_Hall '-I 2 2'
_cell_length_a 5.5762
_cell_length_b 8.5535
_cell_length_c 15.8668
_cell_angle_alpha 90.00
_cell_angle_beta 90.00
_cell_angle_gamma 90.00
loop_
_atom_site_label
_atom_site_fract_x
_atom_site_fract_y
_atom_site_fract_z
Pr1 0.0000 0.0000 0.1609
Pr2 0.0000 0.2024 0.3549
Pr3 0.0000 0.3010 0.0000
Nd1 0.0000 0.5000 0.5000
Sc1 0.0000 0.5000 0.2003

***

[2]
# Pr3Nd5Sc2 PBE-GGA optimized geometry
# magnetic moment = 0.00 μB/cell
# DFT formation energy = 0.042 eV/atom
# raw total energy = -5.04 eV per atom
data_Pr3Nd5Sc2
_chemical_formula_sum 'Pr6 Nd10 Sc4'
_symmetry_space_group_name_H-M 'P -1'
_symmetry_Int_Tables_number 2
_cell_length_a 9.5296
_cell_length_b 9.5310
_cell_length_c 9.5459
_cell_angle_alpha 106.61
_cell_angle_beta 106.79
_cell_angle_gamma 115.11
loop_
_symmetry_equiv_pos_as_xyz
'x,y,z'
'-x,-y,-z'
loop_
_atom_site_label
_atom_site_fract_x
_atom_site_fract_y
_atom_site_fract_z
Pr1 0.0274 0.0733 0.3481
Pr2 0.1789 0.5283 0.4478
Pr3 0.4206 0.2694 0.9477
Nd1 0.1195 0.3697 0.7506
Nd2 0.2247 0.6790 0.1518
Nd3 0.2705 0.8244 0.8453
Nd4 0.3674 0.1173 0.2497
Nd5 0.4799 0.4255 0.6552
Sc1 0.0724 0.2180 0.0493
Sc2 0.3327 0.9771 0.5491

***

[3]
# Pr3Nd4Sc2 PBE-GGA optimized geometry
# energy above the most stable polymorph in this dataset = 7 meV per atom
# magnetic moment = 0.00 μB/cell
# DFT formation energy = 0.112 eV/atom
# raw total energy = -5.01 eV per atom
data_Pr3Nd4Sc2
_chemical_formula_sum 'Pr3 Nd4 Sc2'
_symmetry_space_group_name_H-M 'P 3 m 1'
_symmetry_Int_Tables_number 156
_cell_length_a 3.5931
_cell_length_b 3.5931
_cell_length_c 26.8369
_cell_angle_alpha 90.00
_cell_angle_beta 90.00
_cell_angle_gamma 120.00
loop_
_symmetry_equiv_pos_as_xyz
'x,y,z'
'-y,x-y,z'
'-x+y,-x,z'
'-y,-x,z'
'-x+y,y,z'
'x,x-y,z'
loop_
_atom_site_label
_atom_site_fract_x
_atom_site_fract_y
_atom_site_fract_z
Pr1 0.0000 0.0000 0.0000
Pr2 0.0000 0.0000 0.3324
Pr3 0.6667 0.3333 0.6771
Nd1 0.0000 0.0000 0.5623
Nd2 0.0000 0.0000 0.7941
Nd3 0.6667 0.3333 0.2213
Nd4 0.6667 0.3333 0.4493
Sc1 0.6667 0.3333 0.1011
Sc2 0.6667 0.3333 0.8946

***

[4]
# Pr6NdSc PBE-GGA optimized geometry
# energy above the most stable polymorph in this dataset = 0 meV per atom
# magnetic moment = 0.00 μB/cell
# DFT formation energy = 0.031 eV/atom
# raw total energy = -4.94 eV per atom
data_Pr6NdSc
_chemical_formula_sum 'Pr6 Nd1 Sc1'
_symmetry_space_group_name_H-M 'P 4/m m m'
_symmetry_Int_Tables_number 123
_symmetry_space_group_name_Hall '-P 4 2'
_cell_length_a 5.1644
_cell_length_b 5.1644
_cell_length_c 10.3408
_cell_angle_alpha 90.00
_cell_angle_beta 90.00
_cell_angle_gamma 90.00
loop_
_atom_site_label
_atom_site_fract_x
_atom_site_fract_y
_atom_site_fract_z
Pr1 0.0000 0.0000 0.0000
Pr2 0.0000 0.0000 0.5000
Pr3 0.0000 0.5000 0.2433
Nd1 0.5000 0.5000 0.5000
Sc1 0.5000 0.5000 0.0000

***

[5]
# Pr2NdSc2 PBE-GGA optimized geometry
# energy above the most stable polymorph in this dataset = 67 meV per atom
# magnetic moment = 0.00 μB/cell
# DFT formation energy = 0.178 eV/atom
# raw total energy = -5.22 eV per atom
data_Pr2NdSc2
_chemical_formula_sum 'Pr8 Nd4 Sc8'
_symmetry_space_group_name_H-M 'C 1 2/c 1'
_symmetry_Int_Tables_number 15
_cell_length_a 12.9652
_cell_length_b 9.5686
_cell_length_c 5.7990
_cell_angle_alpha 90.00
_cell_angle_beta 116.50
_cell_angle_gamma 90.00
loop_
_symmetry_equiv_pos_as_xyz
'x,y,z'
'-x,-y,-z'
'-x,y,-z+1/2'
'x,-y,z+1/2'
'x+1/2,y+1/2,z'
'-x+1/2,-y+1/2,-z'
'-x+1/2,y+1/2,-z+1/2'
'x+1/2,-y+1/2,z+1/2'
loop_
_atom_site_label
_atom_site_fract_x
_atom_site_fract_y
_atom_site_fract_z
Pr1 0.1734 0.0816 0.4237
Nd1 0.0000 0.3943 0.2500
Sc1 0.1341 0.2996 0.8838

***

[6]
# Pr2NdSc PBE-GGA optimized geometry
# energy above the most stable polymorph in this dataset = 92 meV per atom
# magnetic moment = 0.00 μB/cell
# DFT formation energy = 0.130 eV/atom
# raw total energy = -5.03 eV per atom
data_Pr2NdSc
_chemical_formula_sum 'Pr8 Nd4 Sc4'
_symmetry_space_group_name_H-M 'F m -3 m'
_symmetry_Int_Tables_number 225
_symmetry_space_group_name_Hall '-F 4 2 3'
_cell_length_a 8.0740
_cell_length_b 8.0740
_cell_length_c 8.0740
_cell_angle_alpha 90.00
_cell_angle_beta 90.00
_cell_angle_gamma 90.00
loop_
_atom_site_label
_atom_site_fract_x
_atom_site_fract_y
_atom_site_fract_z
Pr1 0.2500 0.2500 0.2500
Nd1 0.0000 0.0000 0.0000
Sc1 0.0000 0.0000 0.5000

***

> Which value of magnetic moment does entry 4 give?

0.00 μB/cell